[1]
Computed, not measured: a PBEsol-optimized structure of CoSb3 at the SCAN level of DFT.

Results
Distance to the lowest polymorph of the same formula ... 256 meV/atom
Formation energy (no corrections) ... 1.968 kcal/mol of atoms

Cell lengths 5.3836, 5.3836, 3.8960 Å; angles 90.00, 90.00, 125.97 degrees
Fractional positions:
Co (0.0000, 0.0000, 0.0000)
Sb (0.1680, 0.8320, 0.5000)
Sb (0.5000, 0.5000, 0.0000)
Sb (0.8320, 0.1680, 0.5000)



[2]
Computed, not measured: a PBEsol-optimized structure of BePtSeBr2 at the SCAN level of DFT.

Results
Formation energy (no corrections) ... 13.774 kcal/mol of atoms

Cell lengths 4.4745, 4.4745, 4.7835 Å; angles 90.00, 90.00, 90.00 degrees
Fractional positions:
Be (0.0000, 0.0000, 0.0000)
Pt (0.5000, 0.5000, 0.5000)
Se (0.0000, 0.0000, 0.5000)
Br (0.0000, 0.5000, 0.0000)
Br (0.5000, 0.0000, 0.0000)



[3]
Computed, not measured: a PBEsol-optimized structure of CuAu2Se at the SCAN level of DFT.

Results
Formation energy (no corrections) ... 7.079 kcal/mol of atoms

Cell lengths 4.5495, 4.5495, 4.5495 Å; angles 60.00, 60.00, 60.00 degrees
Fractional positions:
Cu (0.0000, 0.0000, 0.0000)
Au (0.2500, 0.2500, 0.2500)
Au (0.5000, 0.5000, 0.5000)
Se (0.7500, 0.7500, 0.7500)



[4]
Computed, not measured: a PBEsol-optimized structure of CrRhCl2 at the SCAN level of DFT.

Results
Distance to the lowest polymorph of the same formula ... 359 meV/atom
Formation energy (no corrections) ... -1.673 kcal/mol of atoms

Cell lengths 5.8608, 5.8608, 5.8608 Å; angles 145.42, 145.42, 49.70 degrees
Fractional positions:
Cr (0.0000, 0.0000, 0.0000)
Rh (0.7500, 0.2500, 0.5000)
Cl (0.2500, 0.7500, 0.5000)
Cl (0.5000, 0.5000, 0.0000)



[5]
Computed, not measured: a PBEsol-optimized structure of AlSb2Te at the SCAN level of DFT.

Results
Distance to the lowest polymorph of the same formula ... 0 meV/atom
Formation energy (no corrections) ... 4.914 kcal/mol of atoms

Cell lengths 11.2791, 11.2791, 11.2791 Å; angles 16.58, 16.58, 16.58 degrees
Fractional positions:
Al (0.0000, 0.0000, 0.0000)
Sb (0.2661, 0.2661, 0.2661)
Sb (0.7339, 0.7339, 0.7339)
Te (0.5000, 0.5000, 0.5000)



[6]
Computed, not measured: a PBEsol-optimized structure of Fe2CoNi at the SCAN level of DFT.

Results
Distance to the lowest polymorph of the same formula ... 32 meV/atom
E_form ... -0.08 eV/atom

Cell lengths 4.6216, 4.6216, 2.4061 Å; angles 100.10, 100.10, 116.63 degrees
Fractional positions:
Fe (0.0000, 0.5000, 0.0000)
Fe (0.5000, 0.0000, 0.0000)
Co (0.0000, 0.0000, 0.5000)
Ni (0.5000, 0.5000, 0.5000)



no.,total DFT energy (no corrections) (eV for the cell shown),magnetization (μB/f.u.)
1,-128.75,0.1
2,-130.56,0.7
3,-172.36,0.0
4,-68.40,3.7
5,-118.67,0.0
6,-70.06,8.1